# LaCr2

A geometry-optimized LaCr2 structure (PBE-GGA, Alexandria via LeMat-Bulk). Values from VASP.

Values from the calculation:
D(E_F)   11.2 states/eV/cell
DFT formation energy   67.1 kJ per mole of atoms
M_tot   0.944 Bohr magnetons per cell

Cell and atoms, written as Quantum ESPRESSO input:
```
&SYSTEM
  ibrav = 0, nat = 6, ntyp = 2
/
ATOMIC_SPECIES
La 138.91 La.upf
Cr 52.00 Cr.upf
CELL_PARAMETERS angstrom
-2.341 2.341 5.339
2.341 -2.341 5.339
2.341 2.341 -5.339
ATOMIC_POSITIONS crystal
La 0.250 0.250 0.000
La 0.750 0.750 0.000
Cr 0.196 0.696 0.893
Cr 0.304 0.196 0.500
Cr 0.696 0.804 0.500
Cr 0.804 0.304 0.107
```

=====

# LaCr

A geometry-optimized LaCr structure (PBE-GGA, Alexandria via LeMat-Bulk). Values from VASP.

Values from the calculation:
D(E_F)   2.6 states/eV/cell
DFT formation energy   72.1 kJ per mole of atoms
M_tot   3.535 Bohr magnetons per cell

Cell and atoms, written as Quantum ESPRESSO input:
```
&SYSTEM
  ibrav = 0, nat = 2, ntyp = 2
/
ATOMIC_SPECIES
La 138.91 La.upf
Cr 52.00 Cr.upf
CELL_PARAMETERS angstrom
1.791 1.034 4.733
-1.791 1.034 4.733
0.000 -2.069 4.733
ATOMIC_POSITIONS crystal
La 0.000 0.000 0.000
Cr 0.500 0.500 0.500
```